# 1
Below is a relaxed SrVBr3 crystal, with properties calculated at the GGA-PBE level.

Values from the calculation:
energy relative to the elements, uncorrected = -571 meV/atom
energy above the most stable polymorph in this dataset = 0.377 eV/atom

abc: 5.8967 5.8967 5.8967
angles: 90.00 90.00 90.00
Last column: nearest neighbours and their distance in Å.
Fractional coordinates of all 5 atoms:
1 V 0.5000 0.5000 0.5000  12 Br 4.17
2 Sr 0.0000 0.0000 0.0000  6 Br 2.95
3 Br 0.0000 0.0000 0.5000  2 Sr 2.95
4 Br 0.5000 0.0000 0.0000  2 Sr 2.95
5 Br 0.0000 0.5000 0.0000  2 Sr 2.95


# 2
Below is a relaxed YMn2Si crystal, with properties calculated at the GGA-PBE level.

Values from the calculation:
energy relative to the elements, uncorrected = 267 meV/atom

abc: 5.4120 5.4120 3.0330
angles: 75.21 75.21 116.12
Last column: nearest neighbours and their distance in Å.
Fractional coordinates of all 4 atoms:
1 Y 0.0000 0.5000 0.5000  4 Mn 2.74, 4 Si 2.86-3.00, 2 Y 3.03
2 Mn 0.5000 0.5000 0.0000  2 Si 2.74, 2 Y 2.74, 6 Mn 2.86-3.03
3 Mn 0.0000 0.0000 0.0000  2 Y 2.74, 2 Si 2.74, 6 Mn 2.86-3.03
4 Si 0.5000 0.0000 0.5000  4 Mn 2.74, 4 Y 2.86-3.00, 2 Si 3.03


# 3
Below is a relaxed BaReW2 crystal, with properties calculated at the GGA-PBE level.

Values from the calculation:
energy above the most stable polymorph in this dataset = 0.626 eV/atom

abc: 4.7430 4.7430 4.7430
angles: 60.00 60.00 60.00
Last column: nearest neighbours and their distance in Å.
Fractional coordinates of all 4 atoms:
1 W 0.7500 0.7500 0.7500  4 Re 2.90, 4 Ba 2.90
2 W 0.2500 0.2500 0.2500  4 Ba 2.90, 4 Re 2.90
3 Ba 0.0000 0.0000 0.0000  8 W 2.90
4 Re 0.5000 0.5000 0.5000  8 W 2.90


# 4
Below is a relaxed AlZn5Pt6 crystal, with properties calculated at the GGA-PBE level.

Values from the calculation:
total energy = -4.52 eV per atom

abc: 4.0624 7.0865 7.3319
angles: 118.90 106.08 90.00
Last column: nearest neighbours and their distance in Å.
Fractional coordinates of all 12 atoms:
1 Pt 0.1651 0.9216 0.3303  1 Al 2.65, 7 Zn 2.67-2.73, 4 Pt 2.86-2.90
2 Pt 0.8349 0.5913 0.6697  1 Al 2.65, 7 Zn 2.67-2.73, 4 Pt 2.86-2.90
3 Pt 0.8349 0.0784 0.6697  1 Al 2.65, 7 Zn 2.67-2.73, 4 Pt 2.86-2.90
4 Pt 0.1651 0.4087 0.3303  1 Al 2.65, 7 Zn 2.67-2.73, 4 Pt 2.86-2.90
5 Pt 0.5000 0.2365 0.0000  2 Al 2.63, 6 Zn 2.69-2.76, 4 Pt 2.86
6 Pt 0.5000 0.7635 0.0000  2 Al 2.63, 6 Zn 2.69-2.76, 4 Pt 2.86
7 Zn 0.3376 0.3376 0.6752  8 Pt 2.72-2.73, 4 Zn 2.83-2.85
8 Zn 0.6732 0.1732 0.3464  8 Pt 2.67-2.69, 2 Zn 2.85, 2 Al 2.93
9 Zn 0.0000 0.5000 0.0000  8 Pt 2.71-2.76, 4 Zn 2.83
10 Zn 0.6624 0.6624 0.3248  8 Pt 2.72-2.73, 4 Zn 2.83-2.85
11 Zn 0.3268 0.8268 0.6536  8 Pt 2.67-2.69, 2 Zn 2.85, 2 Al 2.93
12 Al 0.0000 0.0000 0.0000  8 Pt 2.63-2.65, 4 Zn 2.93


> Number 2 is which compound?

YMn2Si